## MgFe2O5 (PBE with a Hubbard U)

Data for a relaxed MgFe2O5 crystal.

a b c (Å): 9.7955 5.1389 7.1147
angles (deg): 90.00 110.30 90.00
With the nearest neighbours (Å) after each atom.
Space group Cc (No. 9)
Inequivalent atoms, fractional coordinates:
1 Mg 0.0000 0.0009 0.0000  6 O 2.07-2.11
2 Fe 0.1330 0.4976 0.7124  5 O 1.88-2.05
3 Fe 0.3809 0.0011 0.7893  6 O 1.87-2.00
4 O 0.0781 0.3500 0.9335  3 Fe 1.98-2.02, 1 Mg 2.07
5 O 0.2006 0.1688 0.6596  2 Fe 1.89-1.90, 1 Mg 2.09
6 O 0.3068 0.3187 0.3345  2 Fe 1.87-1.88, 1 Mg 2.07
7 O 0.4136 0.1501 0.0523  2 Fe 1.94-1.98, 1 Mg 2.08
8 O 0.4982 0.2818 0.7500  2 Fe 1.92-2.05, 2 Mg 2.10-2.11

## Properties
- Uncorrected energy: -193.1 eV per cell
- Excess energy over the best structure of this formula in the dataset: 114 meV/atom
- Fermi-level density of states: 3.61 states/eV/f.u.
- Mass density: 4.3 Mg/m³